Model 1:
The following is a DFT calculation (PBEsol) of a relaxed structure of LiNbRh3.

Unit cell a=4.6870 b=4.6870 c=4.6870 alpha=90.00 beta=90.00 gamma=90.00
Last column: nearest neighbours and their distance in Å.
Positions (direct):
Li (0.0000, 0.0000, 0.0000)  12 Rh 3.31
Nb (0.5000, 0.5000, 0.5000)  6 Rh 2.34
Rh (0.0000, 0.5000, 0.5000)  2 Nb 2.34
Rh (0.5000, 0.0000, 0.5000)  2 Nb 2.34
Rh (0.5000, 0.5000, 0.0000)  2 Nb 2.34

Model 2:
The following is a DFT calculation (PBEsol) of a relaxed structure of LiNbRh3.

Unit cell a=4.0658 b=4.0658 c=4.0658 alpha=90.00 beta=90.00 gamma=90.00
Last column: nearest neighbours and their distance in Å.
Positions (direct):
Li (0.0000, 0.0000, 0.0000)  6 Rh 2.03
Nb (0.5000, 0.5000, 0.5000)  12 Rh 2.87
Rh (0.0000, 0.0000, 0.5000)  2 Li 2.03
Rh (0.0000, 0.5000, 0.0000)  2 Li 2.03
Rh (0.5000, 0.0000, 0.0000)  2 Li 2.03

The most stable of them is model 2.

Model 1:
The following is a DFT calculation (PBEsol) of a relaxed structure of LiYNb3.

Unit cell a=4.5836 b=4.5836 c=4.5836 alpha=90.00 beta=90.00 gamma=90.00
Last column: nearest neighbours and their distance in Å.
Positions (direct):
Li (0.0000, 0.0000, 0.0000)  6 Nb 2.29
Y (0.5000, 0.5000, 0.5000)  12 Nb 3.24
Nb (0.0000, 0.0000, 0.5000)  2 Li 2.29
Nb (0.0000, 0.5000, 0.0000)  2 Li 2.29
Nb (0.5000, 0.0000, 0.0000)  2 Li 2.29

Model 2:
The following is a DFT calculation (PBEsol) of a relaxed structure of LiYNb3.

Unit cell a=4.9100 b=4.9100 c=4.9100 alpha=90.00 beta=90.00 gamma=90.00
Last column: nearest neighbours and their distance in Å.
Positions (direct):
Li (0.0000, 0.0000, 0.0000)  12 Nb 3.47
Y (0.5000, 0.5000, 0.5000)  6 Nb 2.46
Nb (0.0000, 0.5000, 0.5000)  2 Y 2.46
Nb (0.5000, 0.0000, 0.5000)  2 Y 2.46
Nb (0.5000, 0.5000, 0.0000)  2 Y 2.46

The most stable of them is model 1.